First-principles (PBE) data for LaBe2Au after structural relaxation, as listed in Alexandria.

Values from the calculation:
- DOS at the Fermi energy: 0.88 states/eV per cell
- Offset from the most stable computed form: 314.2 meV/atom
- Magnetic moment: 0.00 μB/f.u.
- E: -3.9043 eV per atom
- V: 17.4 Å³ per atom
- ΔH_f (0 K): 0.010 eV per atom

Unit cell a=4.6163 b=4.6163 c=4.6163 alpha=60.00 beta=60.00 gamma=60.00
With the nearest neighbours (Å) after each atom.
Element x y z (fractional)
1 Be 0.2500 0.2500 0.2500  4 La 2.83, 4 Au 2.83
2 Be 0.7500 0.7500 0.7500  4 Au 2.83, 4 La 2.83
3 Au 0.5000 0.5000 0.5000  8 Be 2.83
4 La 0.0000 0.0000 0.0000  8 Be 2.83



First-principles (PBE) data for LaBe2Au after structural relaxation, as listed in Alexandria.

Values from the calculation:
- DOS at the Fermi energy: 3.70 states/eV per cell
- Offset from the most stable computed form: 674.6 meV/atom
- Magnetic moment: 0.00 μB/f.u.
- E: -3.5440 eV per atom
- V: 20.2 Å³ per atom
- ΔH_f (0 K): 0.370 eV per atom

Unit cell a=4.2496 b=4.2488 c=4.4678 alpha=90.00 beta=90.00 gamma=90.00
With the nearest neighbours (Å) after each atom.
Element x y z (fractional)
1 Be 0.0000 0.0000 0.0000  4 Be 3.00, 4 Au 3.08, 4 La 3.08
2 Be 0.5000 0.5000 0.0000  4 Be 3.00, 4 La 3.08, 4 Au 3.08
3 Au 0.0000 0.5000 0.5000  4 La 3.00, 8 Be 3.08
4 La 0.5000 0.0000 0.5000  4 Au 3.00, 8 Be 3.08



First-principles (PBE) data for LiLaBe2Au5 after structural relaxation, as listed in Alexandria.

Values from the calculation:
- DOS at the Fermi energy: 3.76 states/eV per cell
- Magnetic moment: 0.00 μB/f.u.
- E: -3.7849 eV per atom
- V: 17.9 Å³ per atom
- ΔH_f (0 K): -0.376 eV per atom

Unit cell a=4.6866 b=4.6866 c=7.3551 alpha=90.00 beta=90.00 gamma=90.00
With the nearest neighbours (Å) after each atom.
Element x y z (fractional)
1 Li 0.0000 0.0000 0.0000  8 Au 2.78
2 La 0.0000 0.0000 0.5000  12 Au 3.21-3.31
3 Be 0.5000 0.5000 0.1642  5 Au 2.36-2.47, 1 Be 2.42
4 Be 0.5000 0.5000 0.8358  5 Au 2.36-2.47, 1 Be 2.42
5 Au 0.0000 0.5000 0.2023  2 Be 2.36
6 Au 0.5000 0.0000 0.2023  2 Be 2.36
7 Au 0.0000 0.5000 0.7977  2 Be 2.36
8 Au 0.5000 0.0000 0.7977  2 Be 2.36
9 Au 0.5000 0.5000 0.5000  2 Be 2.47



First-principles (PBE) data for LiLaBeAu2 after structural relaxation, as listed in Alexandria.

Values from the calculation:
- DOS at the Fermi energy: 3.47 states/eV per cell
- Magnetic moment: 0.00 μB/f.u.
- E: -3.8005 eV per atom
- V: 19.7 Å³ per atom
- ΔH_f (0 K): -0.376 eV per atom

Unit cell a=4.6656 b=4.6656 c=4.5333 alpha=90.00 beta=90.00 gamma=90.00
With the nearest neighbours (Å) after each atom.
Element x y z (fractional)
1 Be 0.0000 0.0000 0.0000  2 Li 2.27, 4 Au 2.33
2 Li 0.0000 0.0000 0.5000  2 Be 2.27
3 Au 0.0000 0.5000 0.0000  2 Be 2.33
4 Au 0.5000 0.0000 0.0000  2 Be 2.33
5 La 0.5000 0.5000 0.5000  8 Au 3.25, 4 Li 3.30



First-principles (PBE) data for LaMg2BeAu4 after structural relaxation, as listed in Alexandria.

Values from the calculation:
- DOS at the Fermi energy: 3.97 states/eV per cell
- Magnetic moment: 0.00 μB/f.u.
- E: -3.6231 eV per atom
- V: 19.7 Å³ per atom
- ΔH_f (0 K): -0.504 eV per atom

Unit cell a=4.5275 b=4.5275 c=9.2659 alpha=75.86 beta=75.86 gamma=60.00
With the nearest neighbours (Å) after each atom.
Element x y z (fractional)
1 La 0.0000 0.0000 0.0000  8 Au 3.22-3.59
2 Mg 0.7630 0.7630 0.7110  7 Au 2.70-2.81
3 Mg 0.2370 0.2370 0.2890  7 Au 2.70-2.81
4 Be 0.5000 0.5000 0.5000  8 Au 2.57-2.75
5 Au 0.4038 0.4038 0.7887  1 Be 2.57, 3 Mg 2.70
6 Au 0.8652 0.8652 0.4043  4 Mg 2.73-2.81, 3 Be 2.75
7 Au 0.1348 0.1348 0.5957  4 Mg 2.73-2.81, 3 Be 2.75
8 Au 0.5962 0.5962 0.2113  1 Be 2.57, 3 Mg 2.70



First-principles (PBE) data for LaMgBe2Au5 after structural relaxation, as listed in Alexandria.

Values from the calculation:
- DOS at the Fermi energy: 3.22 states/eV per cell
- Magnetic moment: 0.00 μB/f.u.
- E: -3.7512 eV per atom
- V: 18.5 Å³ per atom
- ΔH_f (0 K): -0.378 eV per atom

Unit cell a=4.7144 b=4.7144 c=7.5046 alpha=90.00 beta=90.00 gamma=90.00
With the nearest neighbours (Å) after each atom.
Element x y z (fractional)
1 La 0.0000 0.0000 0.5000  12 Au 3.22-3.33
2 Mg 0.0000 0.0000 0.0000  8 Au 2.83
3 Be 0.5000 0.5000 0.1721  5 Au 2.37-2.46, 1 Be 2.58
4 Be 0.5000 0.5000 0.8279  5 Au 2.37-2.46, 1 Be 2.58
5 Au 0.0000 0.5000 0.2085  2 Be 2.37
6 Au 0.5000 0.0000 0.2085  2 Be 2.37
7 Au 0.0000 0.5000 0.7915  2 Be 2.37
8 Au 0.5000 0.0000 0.7915  2 Be 2.37
9 Au 0.5000 0.5000 0.5000  2 Be 2.46